## i
A relaxed structure of Cs2TeO4, computed with PBE-GGA.

Geometry as POSCAR:
```
Cs2TeO4
1.0
6.879 0.000 0.000
0.000 7.240 0.000
-2.953 0.000 7.810
Cs Te O
4 2 8
direct
0.151 0.250 0.000
0.316 0.250 0.569
0.684 0.750 0.431
0.849 0.750 0.000
0.258 0.750 0.792
0.742 0.250 0.208
0.087 0.545 0.733
0.087 0.955 0.733
0.391 0.750 0.028
0.449 0.750 0.682
0.551 0.250 0.318
0.609 0.250 0.972
0.913 0.045 0.267
0.913 0.455 0.267
```

Output
- space group = No. 11
- calculated volume (Å³/atom) = 27.8
- magnetic moment (μB/f.u.) = 0.169

## ii
A relaxed structure of Cs2TeO4, computed with PBE-GGA.

Geometry as POSCAR:
```
Cs2TeO4
1.0
8.769 0.000 0.000
0.000 6.909 0.000
0.000 0.000 11.820
Cs Te O
8 4 16
direct
0.011 0.250 0.215
0.180 0.250 0.574
0.320 0.750 0.074
0.489 0.750 0.715
0.511 0.250 0.285
0.680 0.250 0.926
0.820 0.750 0.426
0.989 0.750 0.785
0.218 0.250 0.913
0.282 0.750 0.413
0.718 0.250 0.587
0.782 0.750 0.087
0.012 0.250 0.945
0.171 0.750 0.547
0.233 0.531 0.331
0.233 0.969 0.331
0.267 0.031 0.831
0.267 0.469 0.831
0.329 0.250 0.047
0.488 0.750 0.445
0.512 0.250 0.555
0.671 0.750 0.953
0.733 0.531 0.169
0.733 0.969 0.169
0.767 0.031 0.669
0.767 0.469 0.669
0.829 0.250 0.453
0.988 0.750 0.055
```

Output
- space group = No. 62
- calculated volume (Å³/atom) = 25.6
- magnetic moment (μB/f.u.) = 0.152

Short version: ii is the most stable of them.

## i
A relaxed structure of CsTi3O, computed with PBE-GGA.

Geometry as POSCAR:
```
CsTi3O
1.0
4.955 0.000 0.000
0.000 4.955 0.000
0.000 0.000 4.955
Cs Ti O
1 3 1
direct
0.000 0.000 0.000
0.000 0.000 0.500
0.000 0.500 0.000
0.500 0.000 0.000
0.500 0.500 0.500
```

Output
- space group = No. 221
- calculated volume (Å³/atom) = 24.3
- magnetic moment (μB/f.u.) = 2.632

## ii
A relaxed structure of CsTi3O, computed with PBE-GGA.

Geometry as POSCAR:
```
CsTi3O
1.0
4.388 0.000 0.000
0.000 4.388 0.000
0.000 0.000 4.388
Cs Ti O
1 3 1
direct
0.000 0.000 0.000
0.000 0.500 0.500
0.500 0.000 0.500
0.500 0.500 0.000
0.500 0.500 0.500
```

Output
- space group = No. 221
- calculated volume (Å³/atom) = 16.9
- magnetic moment (μB/f.u.) = 0.001

Short version: ii is the most stable of them.

## i
A relaxed structure of Cs3TlO4, computed with PBE-GGA.

Geometry as POSCAR:
```
Cs3TlO4
1.0
-3.333 5.606 2.944
3.333 -5.606 2.944
3.333 5.606 -2.944
Cs Tl O
3 1 4
direct
0.000 0.000 0.000
0.256 0.499 0.757
0.742 0.499 0.243
0.499 0.999 0.500
0.321 0.999 0.323
0.501 0.388 0.887
0.501 0.614 0.113
0.676 0.999 0.677
```

Output
- space group = No. 44
- calculated volume (Å³/atom) = 27.5
- magnetic moment (μB/f.u.) = 0.078

## ii
A relaxed structure of Cs3TlO4, computed with PBE-GGA.

Geometry as POSCAR:
```
Cs3TlO4
1.0
6.026 -3.365 0.000
6.026 3.365 0.000
-3.611 0.000 5.524
Cs Tl O
3 1 4
direct
0.000 0.000 0.000
0.259 0.247 0.753
0.753 0.741 0.247
0.502 0.498 0.500
0.257 0.349 0.302
0.651 0.743 0.698
0.847 0.152 0.614
0.848 0.153 0.386
```

Output
- space group = No. 5
- calculated volume (Å³/atom) = 28.0
- magnetic moment (μB/f.u.) = 0.086

Short version: ii is the most stable of them.

## i
A relaxed structure of Cs3TmO3, computed with PBE-GGA.

Geometry as POSCAR:
```
Cs3TmO3
1.0
8.197 0.000 0.000
0.000 7.653 0.000
-1.200 0.000 12.232
Cs Tm O
12 4 12
direct
0.060 0.123 0.156
0.060 0.377 0.656
0.347 0.157 0.922
0.347 0.343 0.422
0.382 0.678 0.810
0.382 0.822 0.310
0.618 0.178 0.690
0.618 0.322 0.190
0.653 0.657 0.578
0.653 0.843 0.078
0.940 0.623 0.344
0.940 0.877 0.844
0.153 0.588 0.070
0.153 0.912 0.570
0.847 0.088 0.430
0.847 0.412 0.930
0.108 0.055 0.417
0.108 0.445 0.917
0.240 0.657 0.549
0.240 0.843 0.049
0.291 0.045 0.696
0.291 0.455 0.196
0.709 0.545 0.804
0.709 0.955 0.304
0.760 0.157 0.951
0.760 0.343 0.451
0.892 0.555 0.083
0.892 0.945 0.583
```

Output
- space group = No. 14
- calculated volume (Å³/atom) = 27.4
- magnetic moment (μB/f.u.) = 0.080

## ii
A relaxed structure of Cs3TmO3, computed with PBE-GGA.

Geometry as POSCAR:
```
Cs3TmO3
1.0
3.954 -6.464 0.000
3.954 6.464 0.000
-1.522 0.000 7.565
Cs Tm O
6 2 6
direct
0.215 0.785 0.000
0.263 0.737 0.500
0.356 0.356 0.150
0.644 0.644 0.850
0.737 0.263 0.500
0.785 0.215 0.000
0.168 0.168 0.652
0.832 0.832 0.348
0.108 0.108 0.367
0.159 0.427 0.767
0.427 0.159 0.767
0.573 0.841 0.233
0.841 0.573 0.233
0.892 0.892 0.633
```

Output
- space group = No. 12
- calculated volume (Å³/atom) = 27.6
- magnetic moment (μB/f.u.) = 0.134

Short version: i is the most stable of them.